A relaxed In6Ga3Cl14 crystal, computed with GGA-PBE.

Properties
As for the mass density: 3.10 g/cm3. Its total moment is 1.0 μB per cell. Its energy relative to the elements, uncorrected is -0.95 eV per atom.

Structure (CIF):
```
data_In6Ga3Cl14
_cell_length_a 11.7651
_cell_length_b 11.7651
_cell_length_c 6.2219
_cell_angle_alpha 90.00
_cell_angle_beta 90.00
_cell_angle_gamma 120.00
_symmetry_space_group_name_H-M 'P 3'
_symmetry_Int_Tables_number 143
loop_
_symmetry_equiv_pos_as_xyz
'x,y,z'
'-y,x-y,z'
'-x+y,-x,z'
loop_
_atom_site_label
_atom_site_fract_x
_atom_site_fract_y
_atom_site_fract_z
In1 0.0019 0.5625 0.0000
In2 0.1043 0.3280 0.5262
Ga1 0.0000 0.0000 0.1083
Ga2 0.3333 0.6667 0.2917
Ga3 0.6667 0.3333 0.5857
Cl1 0.0000 0.0000 0.7563
Cl2 0.1196 0.5991 0.5156
Cl3 0.1837 0.4520 0.0583
Cl4 0.2005 0.1333 0.2298
Cl5 0.4671 0.1975 0.7091
Cl6 0.6667 0.3333 0.2342
```


A relaxed YPtAu2 crystal, computed with GGA-PBE.

Properties
As for the mass density: 14.23 g/cm3. Its total moment is 0.0 μB per cell. For the energy of formation, the calculation gives -0.699 eV/atom. Its distance to the lowest polymorph of the same formula is 0.29 eV per formula unit.

Structure (CIF):
```
data_YPtAu2
_cell_length_a 6.8143
_cell_length_b 6.8143
_cell_length_c 6.8143
_cell_angle_alpha 90.00
_cell_angle_beta 90.00
_cell_angle_gamma 90.00
_symmetry_space_group_name_H-M 'F -4 3 m'
_symmetry_Int_Tables_number 216
_symmetry_space_group_name_Hall 'F -4 2 3'
loop_
_atom_site_label
_atom_site_fract_x
_atom_site_fract_y
_atom_site_fract_z
Y1 0.0000 0.0000 0.0000
Pt1 0.2500 0.2500 0.7500
Au1 0.0000 0.0000 0.5000
Au2 0.2500 0.2500 0.2500
```


Q: Look up the mass density of the first one.
A: 3.10 g/cm3